Material: Sr2CdHg
Method: DFT, PBEsol
State: relaxed

Summary:
Crystal system: tetragonal
Formation energy: -0.450 eV/atom
Size of the total moment: 0.00 μB/cell
VASP energy: -7.246 eV/f.u.

a b c (Å): 3.9410 3.9410 7.8904
angles (deg): 90.00 90.00 90.00
Element x y z (fractional)
Sr (0.0000, 0.0000, 0.7446)
Sr (0.0000, 0.0000, 0.2554)
Hg (0.5000, 0.5000, 0.5000)
Cd (0.5000, 0.5000, 0.0000)

---

Material: Mg2ZrCu
Method: DFT, PBEsol
State: relaxed

Summary:
Crystal system: tetragonal
Formation energy: -0.045 eV/atom
Size of the total moment: 0.00 μB/cell
VASP energy: -17.039 eV/f.u.

a b c (Å): 3.0682 3.0682 8.0445
angles (deg): 90.00 90.00 90.00
Element x y z (fractional)
Mg (0.0000, 0.0000, 0.9545)
Mg (0.5000, 0.5000, 0.2485)
Zr (0.0000, 0.0000, 0.5421)
Cu (0.5000, 0.5000, 0.7549)

---

Material: Ta7InO19
Method: DFT, PBEsol
State: relaxed

Summary:
Crystal system: hexagonal
Uncorrected formation energy: -2.713 eV per atom
Size of the total moment: 0.00 μB/cell
VASP energy: -263.837 eV/f.u.

a b c (Å): 6.1850 6.1850 20.0461
angles (deg): 90.00 90.00 120.00
Element x y z (fractional)
Ta (0.3050, 0.3347, 0.8442)
Ta (0.3050, 0.3347, 0.6558)
Ta (0.0297, 0.3347, 0.3442)
Ta (0.0297, 0.3347, 0.1558)
Ta (0.3050, 0.9703, 0.1558)
Ta (0.3050, 0.9703, 0.3442)
Ta (0.0000, 0.0000, 0.5000)
Ta (0.0000, 0.0000, 0.0000)
Ta (0.0297, 0.6950, 0.8442)
Ta (0.0297, 0.6950, 0.6558)
Ta (0.6653, 0.9703, 0.8442)
Ta (0.6653, 0.9703, 0.6558)
Ta (0.6653, 0.6950, 0.1558)
Ta (0.6653, 0.6950, 0.3442)
In (0.3333, 0.6667, 0.0000)
In (0.3333, 0.6667, 0.5000)
O (0.6672, 0.0869, 0.3472)
O (0.6672, 0.0869, 0.1528)
O (0.6320, 0.9165, 0.7500)
O (0.4197, 0.0869, 0.6528)
O (0.4197, 0.0869, 0.8472)
O (0.6320, 0.7155, 0.2500)
O (0.6672, 0.5803, 0.8472)
O (0.6672, 0.5803, 0.6528)
O (0.2845, 0.9165, 0.2500)
O (0.3333, 0.6667, 0.8637)
O (0.3333, 0.6667, 0.1363)
O (0.3333, 0.6667, 0.3637)
O (0.3333, 0.6667, 0.6363)
O (0.0835, 0.7155, 0.7500)
O (0.4197, 0.3328, 0.3472)
O (0.4197, 0.3328, 0.1528)
O (0.2845, 0.3680, 0.7500)
O (0.2331, 0.2985, 0.9446)
O (0.2331, 0.2985, 0.5554)
O (0.9131, 0.5803, 0.1528)
O (0.9131, 0.5803, 0.3472)
O (0.0835, 0.3680, 0.2500)
O (0.0654, 0.2985, 0.0554)
O (0.0654, 0.2985, 0.4446)
O (0.9131, 0.3328, 0.8472)
O (0.9131, 0.3328, 0.6528)
O (0.2331, 0.9346, 0.4446)
O (0.2331, 0.9346, 0.0554)
O (0.0000, 0.0000, 0.6631)
O (0.0000, 0.0000, 0.1631)
O (0.0000, 0.0000, 0.3369)
O (0.0000, 0.0000, 0.8369)
O (0.0654, 0.7669, 0.9446)
O (0.0654, 0.7669, 0.5554)
O (0.7015, 0.9346, 0.9446)
O (0.7015, 0.9346, 0.5554)
O (0.7015, 0.7669, 0.4446)
O (0.7015, 0.7669, 0.0554)

---

Material: BeSb2W
Method: DFT, PBEsol
State: relaxed

Summary:
Crystal system: orthorhombic
Uncorrected formation energy: 0.915 eV per atom
Size of the total moment: 0.00 μB/cell
VASP energy: -23.261 eV/f.u.

a b c (Å): 3.4495 4.2628 4.9890
angles (deg): 90.00 90.00 90.00
Element x y z (fractional)
Sb (0.0000, 0.0000, 0.0000)
Sb (0.5000, 0.0000, 0.5000)
W (0.5000, 0.5000, 0.0000)
Be (0.0000, 0.5000, 0.5000)

---

Q: What is the size of the total moment in the third record?
A: 0.00 μB/cell

---

Q: Number 4 is which compound?
A: BeSb2W

---

What did the second record say?
Material: Mg2ZrCu
Method: DFT, PBEsol
State: relaxed

Summary:
Crystal system: tetragonal
Formation energy: -0.045 eV/atom
Size of the total moment: 0.00 μB/cell
VASP energy: -17.039 eV/f.u.

a b c (Å): 3.0682 3.0682 8.0445
angles (deg): 90.00 90.00 90.00
Element x y z (fractional)
Mg (0.0000, 0.0000, 0.9545)
Mg (0.5000, 0.5000, 0.2485)
Zr (0.0000, 0.0000, 0.5421)
Cu (0.5000, 0.5000, 0.7549)